4
Lattice="-2.428 4.161 -4.183 -5.676 -1.872 -2.234 2.434 0.586 5.868" Properties=species:S:1:pos:R:3 comment="Sr2YAl | the Alexandria database | GGA-PBE | optimized geometry" e_form_mev_per_atom=122 pbc="T T T"
Al -2.023 2.946 -0.762
Sr -4.052 1.145 -3.209
Y -3.647 -0.071 0.213
Sr 0.000 0.000 0.000